Record 1
GGA-PBE Rb3RuBr8, optimized geometry; formation energy (no corrections) = -11.30 eV per formula unit; mass density = 3.79 g/cm³; energy above the lowest structure with this stoichiometry = 0.000 eV/atom; space group = P6_3mc (186)
1.0
9.371 0.000 0.000
0.000 8.989 -5.190
0.000 0.000 10.380
Rb Ru Br
6 2 16
Cartesian
6.626 6.274 5.190
6.626 1.358 2.352
6.626 1.358 8.028
1.940 2.716 0.000
1.940 7.632 2.838
1.940 7.632 -2.838
1.365 2.996 5.190
6.051 5.993 0.000
9.324 0.961 5.190
9.324 4.014 6.953
9.324 4.014 3.427
4.639 8.028 0.000
4.639 4.975 -1.763
4.639 4.975 1.763
7.522 3.946 0.000
7.522 7.017 1.773
7.522 7.017 -1.773
2.837 5.044 5.190
2.837 1.973 3.417
2.837 1.973 6.963
6.105 2.996 5.190
1.419 5.993 0.000
9.010 0.000 0.000
4.324 0.000 0.000


Record 2
GGA-PBE Rb2RuBr5, optimized geometry; formation energy (no corrections) = -7.65 eV per formula unit; mass density = 4.14 g/cm³; energy above the lowest structure with this stoichiometry = 0.000 eV/atom; space group = Pnma (62)
1.0
7.349 0.000 0.000
0.000 9.518 0.000
0.000 0.000 15.393
Rb Ru Br
8 4 20
Cartesian
5.511 5.129 4.657
1.837 4.389 10.736
1.837 9.149 12.354
5.511 0.370 3.039
5.511 7.801 9.005
1.837 1.718 6.388
1.837 6.477 1.309
5.511 3.041 14.084
5.511 7.863 14.521
1.837 1.655 0.872
1.837 6.414 6.824
5.511 3.104 8.569
5.511 6.710 1.436
1.837 2.809 13.957
1.837 7.568 9.133
5.511 1.950 6.260
3.754 6.325 13.705
3.594 3.194 1.688
3.594 7.953 6.008
0.080 3.194 1.688
3.754 1.565 9.385
7.268 6.325 13.705
7.268 1.565 9.385
0.080 7.953 6.008
3.674 0.000 0.000
3.674 4.759 7.697
0.000 0.000 0.000
0.000 4.759 7.697
5.511 9.110 12.327
1.837 0.409 3.066
1.837 5.168 4.630
5.511 4.351 10.763


Q: Which value of mass density does entry 2 give?
A: 4.14 g/cm³